# 1
An optimized crystal structure of AcReRhO6, computed with GGA-PBE.

Results
ΔE_f (raw) (eV per atom): -1.84
Final energy (eV per cell): -70.26
Crystal system: trigonal

a = 5.3632 Å, b = 5.3632 Å, c = 5.2322 Å
α = 90.00°, β = 90.00°, γ = 120.00°
Space group P312 (No. 149)
One atom of each set of equivalent atoms:
1 Ac 0.0000 0.0000 0.0000 [1 per cell]
2 Re 0.6667 0.3333 0.5000 [1 per cell]
3 Rh 0.3333 0.6667 0.5000 [1 per cell]
4 O 0.3854 0.0144 0.7072 [6 per cell]



# 2
An optimized crystal structure of PmNd2Dy2Er, computed with GGA-PBE.

Results
DFT formation energy (eV per atom): 0.066
Final energy (eV per cell): -55.31
Crystal system: orthorhombic

a = 7.0115 Å, b = 5.6930 Å, c = 9.8869 Å
α = 90.00°, β = 90.00°, γ = 90.00°
Space group Pmma (No. 51)
One atom of each set of equivalent atoms:
1 Pm 0.0000 0.0000 0.0000 [2 per cell]
2 Nd 0.0000 0.5000 0.5000 [2 per cell]
3 Nd 0.2500 0.0000 0.3296 [2 per cell]
4 Dy 0.2500 0.0000 0.6649 [2 per cell]
5 Dy 0.2500 0.5000 0.1677 [2 per cell]
6 Er 0.2500 0.5000 0.8363 [2 per cell]



# 3
An optimized crystal structure of KWSe, computed with GGA-PBE.

Results
ΔE_f (raw) (eV per atom): 0.43
Final energy (eV per cell): -32.49
ΔE to the lowest computed polymorph (eV per formula unit): 0.01
Crystal system: tetragonal

a = 3.2315 Å, b = 3.2315 Å, c = 13.3371 Å
α = 90.00°, β = 90.00°, γ = 90.00°
Space group I4mm (No. 107)
One atom of each set of equivalent atoms:
1 K 0.0000 0.0000 0.0000 [2 per cell]
2 W 0.0000 0.0000 0.7155 [2 per cell]
3 Se 0.0000 0.0000 0.3049 [2 per cell]